A plane-wave DFT calculation with PBEsol was carried out for a geometry-optimized In2HgPb structure.

- Density of states at the Fermi level: 0.46 states/eV/atom
- Calculated density: 10.27 g/cm3
- V: 25.755 Å³/atom
- DFT total energy: -2.629 eV/atom
- Energy of formation from the pure elements: 0.004 eV/atom

Unit cell a=3.3023 b=3.3023 c=9.4469 alpha=90.00 beta=90.00 gamma=90.00
Space group P4/mmm (No. 123)
Asymmetric unit:
In: 0.0000 0.0000 0.2327
Hg: 0.5000 0.5000 0.0000
Pb: 0.5000 0.5000 0.5000

=====

A plane-wave DFT calculation with PBEsol was carried out for a geometry-optimized In2HgPb structure.

- Density of states at the Fermi level: 0.43 states/eV/atom
- Calculated density: 10.26 g/cm3
- V: 25.792 Å³/atom
- DFT total energy: -2.635 eV/atom
- Energy of formation from the pure elements: -0.002 eV/atom

Unit cell a=3.3942 b=3.3942 c=31.0215 alpha=90.00 beta=90.00 gamma=120.00
Space group R-3m (No. 166, hexagonal axes)
Asymmetric unit:
In: 0.0000 0.0000 0.2441
Hg: 0.0000 0.0000 0.5000
Pb: 0.0000 0.0000 0.0000

=====

A plane-wave DFT calculation with PBEsol was carried out for a geometry-optimized In2HgPb structure.

- Density of states at the Fermi level: 0.43 states/eV/atom
- Calculated density: 10.25 g/cm3
- V: 25.805 Å³/atom
- DFT total energy: -2.630 eV/atom
- Energy of formation from the pure elements: 0.003 eV/atom

Unit cell a=3.7062 b=5.2689 c=10.5715 alpha=90.00 beta=90.00 gamma=90.00
Space group Immm (No. 71)
Asymmetric unit:
In: 0.0000 0.0000 0.2351
Hg: 0.0000 0.5000 0.5000
Pb: 0.0000 0.5000 0.0000

=====

A plane-wave DFT calculation with PBEsol was carried out for a geometry-optimized In2HgPb structure.

- Density of states at the Fermi level: 0.44 states/eV/atom
- Calculated density: 10.26 g/cm3
- V: 25.800 Å³/atom
- DFT total energy: -2.629 eV/atom
- Energy of formation from the pure elements: 0.004 eV/atom

Unit cell a=3.6850 b=3.6850 c=7.5998 alpha=90.00 beta=90.00 gamma=90.00
Space group P4mm (No. 99)
Asymmetric unit:
In: 0.0000 0.0000 0.0000
In: 0.5000 0.5000 0.2462
Hg: 0.5000 0.5000 0.7790
Pb: 0.0000 0.0000 0.5210

=====

A plane-wave DFT calculation with PBEsol was carried out for a geometry-optimized In2HgPb structure.

- Density of states at the Fermi level: 0.47 states/eV/atom
- Calculated density: 10.22 g/cm3
- V: 25.900 Å³/atom
- DFT total energy: -2.619 eV/atom
- Energy of formation from the pure elements: 0.014 eV/atom

Unit cell a=3.7617 b=5.2284 c=5.2676 alpha=90.00 beta=90.00 gamma=90.00
Space group Pmmm (No. 47)
Asymmetric unit:
In: 0.0000 0.0000 0.0000
In: 0.5000 0.5000 0.0000
Hg: 0.0000 0.5000 0.5000
Pb: 0.5000 0.0000 0.5000

=====

A plane-wave DFT calculation with PBEsol was carried out for a geometry-optimized InHg2Pb structure.

- Density of states at the Fermi level: 0.42 states/eV/atom
- Calculated density: 11.67 g/cm3
- V: 25.719 Å³/atom
- DFT total energy: -2.025 eV/atom
- Energy of formation from the pure elements: 0.004 eV/atom

Unit cell a=11.6788 b=3.4403 c=5.1620 alpha=90.00 beta=97.23 gamma=90.00
Space group Cm (No. 8)
Asymmetric unit:
In: 0.0000 0.0000 0.0000
Hg: 0.2584 0.0000 0.0752
Hg: 0.4681 0.0000 0.4961
Pb: 0.2287 0.5000 0.5718

=====

A plane-wave DFT calculation with PBEsol was carried out for a geometry-optimized In2HgPb structure.

- Density of states at the Fermi level: 0.44 states/eV/atom
- Calculated density: 10.21 g/cm3
- V: 25.927 Å³/atom
- DFT total energy: -2.626 eV/atom
- Energy of formation from the pure elements: 0.007 eV/atom

Unit cell a=3.2768 b=5.1880 c=6.1549 alpha=90.00 beta=97.63 gamma=90.00
Space group P2/m (No. 10)
Asymmetric unit:
In: 0.1510 0.0000 0.2590
Hg: 0.0000 0.5000 0.5000
Pb: 0.5000 0.5000 0.0000

=====

A plane-wave DFT calculation with PBEsol was carried out for a geometry-optimized InHg2Pb structure.

- Density of states at the Fermi level: 0.54 states/eV/atom
- Calculated density: 11.97 g/cm3
- V: 25.077 Å³/atom
- DFT total energy: -2.015 eV/atom
- Energy of formation from the pure elements: 0.014 eV/atom

Unit cell a=3.4373 b=4.4185 c=6.6046 alpha=90.00 beta=90.00 gamma=90.00
Space group Pmm2 (No. 25)
Asymmetric unit:
In: 0.0000 0.0000 0.0000
Hg: 0.0000 0.0000 0.5330
Hg: 0.5000 0.5000 0.7711
Pb: 0.5000 0.5000 0.2785

=====

A plane-wave DFT calculation with PBEsol was carried out for a geometry-optimized InHg2Pb structure.

- Density of states at the Fermi level: 0.49 states/eV/atom
- Calculated density: 11.92 g/cm3
- V: 25.191 Å³/atom
- DFT total energy: -2.030 eV/atom
- Energy of formation from the pure elements: -0.001 eV/atom

Unit cell a=5.2384 b=5.2384 c=3.6721 alpha=90.00 beta=90.00 gamma=90.00
Space group P4/mmm (No. 123)
Asymmetric unit:
In: 0.0000 0.0000 0.0000
Hg: 0.0000 0.5000 0.5000
Pb: 0.5000 0.5000 0.0000

=====

A plane-wave DFT calculation with PBEsol was carried out for a geometry-optimized InHg2Pb structure.

- Density of states at the Fermi level: 0.44 states/eV/atom
- Calculated density: 11.92 g/cm3
- V: 25.196 Å³/atom
- DFT total energy: -2.025 eV/atom
- Energy of formation from the pure elements: 0.004 eV/atom

Unit cell a=3.7653 b=5.2629 c=10.1717 alpha=90.00 beta=90.00 gamma=90.00
Space group Imm2 (No. 44)
Asymmetric unit:
In: 0.0000 0.0000 0.0000
Hg: 0.0000 0.0000 0.5231
Hg: 0.0000 0.5000 0.2600
Pb: 0.0000 0.5000 0.7655

=====

A plane-wave DFT calculation with PBEsol was carried out for a geometry-optimized InHgPb structure.

- Density of states at the Fermi level: 0.43 states/eV/atom
- Calculated density: 11.21 g/cm3
- V: 25.798 Å³/atom
- Polymorph energy (0 for the lowest one): 9 meV per atom
- DFT total energy: -2.514 eV/atom
- Energy of formation from the pure elements: 0.002 eV/atom

Unit cell a=3.4958 b=4.2609 c=10.3920 alpha=90.00 beta=90.00 gamma=90.00
Space group Imm2 (No. 44)
Asymmetric unit:
In: 0.0000 0.0000 0.0000
Hg: 0.0000 0.0000 0.3509
Pb: 0.0000 0.0000 0.6795

=====

A plane-wave DFT calculation with PBEsol was carried out for a geometry-optimized InHg2Pb structure.

- Density of states at the Fermi level: 0.42 states/eV/atom
- Calculated density: 11.85 g/cm3
- V: 25.333 Å³/atom
- DFT total energy: -2.021 eV/atom
- Energy of formation from the pure elements: 0.008 eV/atom

Unit cell a=3.7796 b=5.3953 c=9.9384 alpha=90.00 beta=90.00 gamma=90.00
Space group Immm (No. 71)
Asymmetric unit:
In: 0.0000 0.0000 0.0000
Hg: 0.0000 0.5000 0.2580
Pb: 0.0000 0.0000 0.5000

=====

A plane-wave DFT calculation with PBEsol was carried out for a geometry-optimized InHg2Pb structure.

- Density of states at the Fermi level: 0.40 states/eV/atom
- Calculated density: 11.81 g/cm3
- V: 25.416 Å³/atom
- DFT total energy: -2.019 eV/atom
- Energy of formation from the pure elements: 0.009 eV/atom

Unit cell a=3.4254 b=3.4254 c=30.0142 alpha=90.00 beta=90.00 gamma=120.00
Space group R3m (No. 160, hexagonal axes)
Asymmetric unit:
In: 0.0000 0.0000 0.0000
Hg: 0.0000 0.0000 0.4893
Hg: 0.0000 0.0000 0.7461
Pb: 0.0000 0.0000 0.2424

=====

A plane-wave DFT calculation with PBEsol was carried out for a geometry-optimized In2HgPb structure.

- Density of states at the Fermi level: 0.49 states/eV/atom
- Calculated density: 10.31 g/cm3
- V: 25.659 Å³/atom
- DFT total energy: -2.625 eV/atom
- Energy of formation from the pure elements: 0.008 eV/atom

Unit cell a=4.7866 b=4.7866 c=8.9590 alpha=90.00 beta=90.00 gamma=90.00
Space group I-4m2 (No. 119)
Asymmetric unit:
In: 0.0000 0.0000 0.0000
In: 0.0000 0.5000 0.2500
Hg: 0.0000 0.5000 0.7500
Pb: 0.0000 0.0000 0.5000

=====

A plane-wave DFT calculation with PBEsol was carried out for a geometry-optimized In2HgPb structure.

- Density of states at the Fermi level: 0.49 states/eV/atom
- Calculated density: 10.28 g/cm3
- V: 25.743 Å³/atom
- DFT total energy: -2.623 eV/atom
- Energy of formation from the pure elements: 0.010 eV/atom

Unit cell a=4.8195 b=4.8195 c=8.8665 alpha=90.00 beta=90.00 gamma=90.00
Space group I4/mmm (No. 139)
Asymmetric unit:
In: 0.0000 0.5000 0.2500
Hg: 0.0000 0.0000 0.0000
Pb: 0.0000 0.0000 0.5000

=====

A plane-wave DFT calculation with PBEsol was carried out for a geometry-optimized InHgPb structure.

- Density of states at the Fermi level: 0.46 states/eV/atom
- Calculated density: 11.03 g/cm3
- V: 26.218 Å³/atom
- Polymorph energy (0 for the lowest one): 24 meV per atom
- DFT total energy: -2.499 eV/atom
- Energy of formation from the pure elements: 0.017 eV/atom

Unit cell a=3.6866 b=5.5510 c=15.3736 alpha=90.00 beta=90.00 gamma=90.00
Space group Fmm2 (No. 42)
Asymmetric unit:
In: 0.0000 0.0000 0.0000
Hg: 0.0000 0.0000 0.3448
Pb: 0.0000 0.0000 0.6772

=====

A plane-wave DFT calculation with PBEsol was carried out for a geometry-optimized InHgPb structure.

- Density of states at the Fermi level: 0.44 states/eV/atom
- Calculated density: 11.26 g/cm3
- V: 25.700 Å³/atom
- Polymorph energy (0 for the lowest one): 12 meV per atom
- DFT total energy: -2.511 eV/atom
- Energy of formation from the pure elements: 0.005 eV/atom

Unit cell a=3.3689 b=3.3689 c=13.5860 alpha=90.00 beta=90.00 gamma=90.00
Space group I4mm (No. 107)
Asymmetric unit:
In: 0.0000 0.0000 0.0000
Hg: 0.0000 0.0000 0.3495
Pb: 0.0000 0.0000 0.6809

=====

A plane-wave DFT calculation with PBEsol was carried out for a geometry-optimized InHg2Pb structure.

- Density of states at the Fermi level: 0.48 states/eV/atom
- Calculated density: 12.00 g/cm3
- V: 25.018 Å³/atom
- DFT total energy: -2.020 eV/atom
- Energy of formation from the pure elements: 0.009 eV/atom

Unit cell a=4.4610 b=4.4610 c=10.0575 alpha=90.00 beta=90.00 gamma=90.00
Space group I-4m2 (No. 119)
Asymmetric unit:
In: 0.0000 0.0000 0.0000
Hg: 0.0000 0.0000 0.5000
Hg: 0.0000 0.5000 0.7500
Pb: 0.0000 0.5000 0.2500

=====

A plane-wave DFT calculation with PBEsol was carried out for a geometry-optimized In2HgPb structure.

- Density of states at the Fermi level: 0.46 states/eV/atom
- Calculated density: 10.20 g/cm3
- V: 25.932 Å³/atom
- DFT total energy: -2.625 eV/atom
- Energy of formation from the pure elements: 0.007 eV/atom

Unit cell a=3.7127 b=5.3235 c=10.4964 alpha=90.00 beta=90.00 gamma=90.00
Space group Imm2 (No. 44)
Asymmetric unit:
In: 0.0000 0.0000 0.0000
In: 0.0000 0.5000 0.2490
Hg: 0.0000 0.0000 0.5167
Pb: 0.0000 0.5000 0.7649

=====

A plane-wave DFT calculation with PBEsol was carried out for a geometry-optimized In2HgPb structure.

- Density of states at the Fermi level: 0.40 states/eV/atom
- Calculated density: 10.31 g/cm3
- V: 25.658 Å³/atom
- DFT total energy: -2.634 eV/atom
- Energy of formation from the pure elements: -0.001 eV/atom

Unit cell a=3.4042 b=4.3316 c=6.9601 alpha=90.00 beta=90.00 gamma=90.00
Space group Pmm2 (No. 25)
Asymmetric unit:
In: 0.0000 0.0000 0.0000
In: 0.5000 0.5000 0.2477
Hg: 0.5000 0.5000 0.7753
Pb: 0.0000 0.0000 0.5151